# K4NdNp3Te8, optimized geometry, DFT PBE
# ρ: 5.61 g/cm3
# V: 37.6 Å³ per atom
# Raw formation energy: -1009 meV per atom
# Energy: -5.579 eV/atom
data_K4NdNp3Te8
_cell_length_a 9.1851
_cell_length_b 9.7817
_cell_length_c 9.1978
_cell_angle_alpha 118.06
_cell_angle_beta 119.95
_cell_angle_gamma 90.00
_space_group_name_H-M_alt 'P 1'
_space_group_IT_number 1
loop_
_space_group_symop_operation_xyz
'x,y,z'
loop_
_atom_site_label
_atom_site_fract_x
_atom_site_fract_y
_atom_site_fract_z
Te1 0.2389 0.7112 0.4778
Te2 0.7349 0.7131 0.9736
Te3 0.7611 0.2888 0.5222
Te4 0.2651 0.2869 0.0264
Te5 0.2388 0.7131 0.9736
Te6 0.7612 0.2869 0.0264
Te7 0.2628 0.2906 0.5257
Te8 0.7372 0.7094 0.4743
K1 0.0000 0.0000 0.0000
K2 0.5000 0.0000 0.0000
K3 0.5000 0.0000 0.5000
K4 0.0000 0.0000 0.5000
Nd1 0.0000 0.5000 0.0000
Np1 0.5000 0.5000 0.0000
Np2 0.5000 0.5000 0.5000
Np3 0.0000 0.5000 0.5000